No. 1
{
  "formula": "Mo2AsBr",
  "functional": "PBE-GGA",
  "state": "relaxed",
  "energy_ev_per_cell": -50.8,
  "n_ef_per_ev_cell": 9.47,
  "space_group": "Cmmm",
  "de_polymorph_mev_per_atom": 511,
  "lattice_angstrom": [[3.176, 0.000, 0.000], [0.000, 5.324, 0.000], [0.000, 0.000, 8.394]],
  "species": ["Mo", "Mo", "Mo", "Mo", "As", "As", "Br", "Br"],
  "frac_coords": [[0.000, 0.000, 0.229], [0.000, 0.000, 0.771], [0.500, 0.500, 0.229], [0.500, 0.500, 0.771], [0.000, 0.500, 0.000], [0.500, 0.000, 0.000], [0.000, 0.500, 0.500], [0.500, 0.000, 0.500]]
}

No. 2
{
  "formula": "Ac2Ge3BiPd4",
  "functional": "PBE-GGA",
  "state": "relaxed",
  "energy_ev_per_cell": -54.4,
  "n_ef_per_ev_cell": 5.90,
  "space_group": "P-4m2",
  "delta_e_f_mev_per_atom": -764.8,
  "lattice_angstrom": [[4.533, 0.000, 0.000], [0.000, 4.533, 0.000], [0.000, 0.000, 10.757]],
  "species": ["Ac", "Ac", "Ge", "Ge", "Ge", "Bi", "Pd", "Pd", "Pd", "Pd"],
  "frac_coords": [[0.000, 0.500, 0.234], [0.500, 0.000, 0.766], [0.000, 0.500, 0.883], [0.500, 0.000, 0.117], [0.500, 0.500, 0.500], [0.000, 0.000, 0.500], [0.000, 0.000, 0.000], [0.000, 0.500, 0.650], [0.500, 0.000, 0.350], [0.500, 0.500, 0.000]]
}

No. 3
{
  "formula": "Se3F",
  "functional": "PBE-GGA",
  "state": "relaxed",
  "energy_ev_per_cell": -27.7,
  "n_ef_per_ev_cell": 2.63,
  "space_group": "P-1",
  "lattice_angstrom": [[4.795, 0.000, 0.000], [1.048, 6.384, 0.000], [0.639, 0.172, 7.100]],
  "species": ["Se", "Se", "Se", "Se", "Se", "Se", "F", "F"],
  "frac_coords": [[0.003, 0.282, 0.210], [0.196, 0.033, 0.710], [0.401, 0.268, 0.379], [0.599, 0.732, 0.621], [0.804, 0.967, 0.290], [0.997, 0.718, 0.790], [0.165, 0.777, 0.264], [0.835, 0.223, 0.736]]
}